[1]
DFT (PBE) results for ErTmMg2Au4 after structural relaxation.

CIF file:
```
data_ErTmMg2Au4
_chemical_formula_sum 'Er1 Tm1 Mg2 Au4'
_space_group_name_H-M_alt 'P m m 2'
_space_group_IT_number 25
_cell_length_a 4.880
_cell_length_b 6.767
_cell_length_c 4.894
_cell_angle_alpha 90.00
_cell_angle_beta 90.00
_cell_angle_gamma 90.00
loop_
_space_group_symop_operation_xyz
'x,y,z'
'-x,-y,z'
'-x,y,z'
'x,-y,z'
loop_
_atom_site_label
_atom_site_type_symbol
_atom_site_fract_x
_atom_site_fract_y
_atom_site_fract_z
Er1 Er 0.000 0.000 0.000
Tm1 Tm 0.500 0.500 0.481
Mg1 Mg 0.000 0.500 0.993
Mg2 Mg 0.500 0.000 0.489
Au1 Au 0.000 0.251 0.501
Au2 Au 0.500 0.252 0.980
```

Values from the calculation:
V (Å³/atom): 20.204
Calculated density (g/cm³): 12.05
Total magnetic moment (μB per formula unit): 0.00
Calculated total energy (eV per cell): -31.5

---

[2]
DFT (PBE) results for ErTmMg2Au4 after structural relaxation.

CIF file:
```
data_ErTmMg2Au4
_chemical_formula_sum 'Er1 Tm1 Mg2 Au4'
_space_group_name_H-M_alt 'P 4/m m m'
_space_group_IT_number 123
_space_group_name_Hall '-P 4 2'
_cell_length_a 4.841
_cell_length_b 4.841
_cell_length_c 6.846
_cell_angle_alpha 90.00
_cell_angle_beta 90.00
_cell_angle_gamma 90.00
loop_
_atom_site_label
_atom_site_type_symbol
_atom_site_fract_x
_atom_site_fract_y
_atom_site_fract_z
Er1 Er 0.000 0.000 0.000
Tm1 Tm 0.500 0.500 0.500
Mg1 Mg 0.000 0.000 0.500
Mg2 Mg 0.500 0.500 0.000
Au1 Au 0.000 0.500 0.250
```

Values from the calculation:
V (Å³/atom): 20.053
Calculated density (g/cm³): 12.14
Total magnetic moment (μB per formula unit): 0.00
Calculated total energy (eV per cell): -31.5

---

[3]
DFT (PBE) results for Er3Mg3ZnAu2 after structural relaxation.

CIF file:
```
data_Er3Mg3ZnAu2
_chemical_formula_sum 'Er3 Mg3 Zn1 Au2'
_space_group_name_H-M_alt 'P -6 2 m'
_space_group_IT_number 189
_space_group_name_Hall 'P -6 -2'
_cell_length_a 7.5905
_cell_length_b 7.5905
_cell_length_c 4.0377
_cell_angle_alpha 90.00
_cell_angle_beta 90.00
_cell_angle_gamma 120.00
loop_
_atom_site_label
_atom_site_type_symbol
_atom_site_fract_x
_atom_site_fract_y
_atom_site_fract_z
Er1 Er 0.0000 0.4124 0.0000
Mg1 Mg 0.0000 0.7531 0.5000
Zn1 Zn 0.0000 0.0000 0.0000
Au1 Au 0.3333 0.6667 0.5000
```

Values from the calculation:
V (Å³/atom): 22.385
Calculated density (g/cm³): 8.52
Total magnetic moment (μB per formula unit): 0.02
Calculated total energy (eV per cell): -31.1

---

[4]
DFT (PBE) results for ErMg2ZnAu4 after structural relaxation.

CIF file:
```
data_ErMg2ZnAu4
_chemical_formula_sum 'Er1 Mg2 Zn1 Au4'
_space_group_name_H-M_alt 'P 4/m m m'
_space_group_IT_number 123
_space_group_name_Hall '-P 4 2'
_cell_length_a 4.704
_cell_length_b 4.704
_cell_length_c 6.853
_cell_angle_alpha 90.00
_cell_angle_beta 90.00
_cell_angle_gamma 90.00
loop_
_atom_site_label
_atom_site_type_symbol
_atom_site_fract_x
_atom_site_fract_y
_atom_site_fract_z
Er1 Er 0.000 0.000 0.000
Mg1 Mg 0.000 0.000 0.500
Mg2 Mg 0.500 0.500 0.000
Zn1 Zn 0.500 0.500 0.500
Au1 Au 0.000 0.500 0.268
```

Values from the calculation:
V (Å³/atom): 18.957
Calculated density (g/cm³): 11.71
Total magnetic moment (μB per formula unit): 0.01
Calculated total energy (eV per cell): -26.6

---

[5]
DFT (PBE) results for Er3Mg3Zn2Au after structural relaxation.

CIF file:
```
data_Er3Mg3Zn2Au
_chemical_formula_sum 'Er3 Mg3 Zn2 Au1'
_space_group_name_H-M_alt 'P -6 2 m'
_space_group_IT_number 189
_space_group_name_Hall 'P -6 -2'
_cell_length_a 7.4931
_cell_length_b 7.4931
_cell_length_c 4.1281
_cell_angle_alpha 90.00
_cell_angle_beta 90.00
_cell_angle_gamma 120.00
loop_
_atom_site_label
_atom_site_type_symbol
_atom_site_fract_x
_atom_site_fract_y
_atom_site_fract_z
Er1 Er 0.0000 0.4091 0.0000
Mg1 Mg 0.0000 0.7514 0.5000
Zn1 Zn 0.3333 0.6667 0.5000
Au1 Au 0.0000 0.0000 0.0000
```

Values from the calculation:
V (Å³/atom): 22.302
Calculated density (g/cm³): 7.47
Total magnetic moment (μB per formula unit): 0.02
Calculated total energy (eV per cell): -27.8

---

[6]
DFT (PBE) results for ErMg2ZrAu4 after structural relaxation.

CIF file:
```
data_ErMg2ZrAu4
_chemical_formula_sum 'Er1 Mg2 Zr1 Au4'
_space_group_name_H-M_alt 'P 4/m m m'
_space_group_IT_number 123
_space_group_name_Hall '-P 4 2'
_cell_length_a 4.811
_cell_length_b 4.811
_cell_length_c 6.792
_cell_angle_alpha 90.00
_cell_angle_beta 90.00
_cell_angle_gamma 90.00
loop_
_atom_site_label
_atom_site_type_symbol
_atom_site_fract_x
_atom_site_fract_y
_atom_site_fract_z
Er1 Er 0.000 0.000 0.000
Mg1 Mg 0.000 0.000 0.500
Mg2 Mg 0.500 0.500 0.000
Zr1 Zr 0.500 0.500 0.500
Au1 Au 0.000 0.500 0.260
```

Values from the calculation:
V (Å³/atom): 19.652
Calculated density (g/cm³): 11.56
Total magnetic moment (μB per formula unit): 0.02
Calculated total energy (eV per cell): -34.9

---

[7]
DFT (PBE) results for ErMoAu after structural relaxation.

CIF file:
```
data_ErMoAu
_chemical_formula_sum 'Er4 Mo4 Au4'
_space_group_name_H-M_alt 'F -4 3 m'
_space_group_IT_number 216
_space_group_name_Hall 'F -4 2 3'
_cell_length_a 6.582
_cell_length_b 6.582
_cell_length_c 6.582
_cell_angle_alpha 90.00
_cell_angle_beta 90.00
_cell_angle_gamma 90.00
loop_
_atom_site_label
_atom_site_type_symbol
_atom_site_fract_x
_atom_site_fract_y
_atom_site_fract_z
Er1 Er 0.000 0.000 0.000
Mo1 Mo 0.250 0.250 0.250
Au1 Au 0.250 0.250 0.750
```

Values from the calculation:
V (Å³/atom): 23.758
Calculated density (g/cm³): 10.72
Total magnetic moment (μB per formula unit): 2.95
Energy of formation (eV per atom): 0.8137
Calculated total energy (eV per cell): -64.9

---

[8]
DFT (PBE) results for ErMoAu after structural relaxation.

CIF file:
```
data_ErMoAu
_chemical_formula_sum 'Er4 Mo4 Au4'
_space_group_name_H-M_alt 'F -4 3 m'
_space_group_IT_number 216
_space_group_name_Hall 'F -4 2 3'
_cell_length_a 6.542
_cell_length_b 6.542
_cell_length_c 6.542
_cell_angle_alpha 90.00
_cell_angle_beta 90.00
_cell_angle_gamma 90.00
loop_
_atom_site_label
_atom_site_type_symbol
_atom_site_fract_x
_atom_site_fract_y
_atom_site_fract_z
Er1 Er 0.000 0.000 0.000
Mo1 Mo 0.250 0.250 0.750
Au1 Au 0.000 0.000 0.500
```

Values from the calculation:
V (Å³/atom): 23.333
Calculated density (g/cm³): 10.92
Total magnetic moment (μB per formula unit): 2.78
Energy of formation (eV per atom): 0.6249
Calculated total energy (eV per cell): -67.2

---

[9]
DFT (PBE) results for ErAuNO after structural relaxation.

CIF file:
```
data_ErAuNO
_chemical_formula_sum 'Er2 Au2 N2 O2'
_space_group_name_H-M_alt 'P 4/n m m'
_space_group_IT_number 129
_cell_length_a 4.760
_cell_length_b 4.760
_cell_length_c 4.596
_cell_angle_alpha 90.00
_cell_angle_beta 90.00
_cell_angle_gamma 90.00
loop_
_space_group_symop_operation_xyz
'x,y,z'
'-x,-y,-z'
'-y+1/2,x,z'
'y+1/2,-x,-z'
'-x+1/2,-y+1/2,z'
'x+1/2,y+1/2,-z'
'y,-x+1/2,z'
'-y,x+1/2,-z'
'x+1/2,-y,-z'
'-x+1/2,y,z'
'-y,-x,-z'
'y,x,z'
'-x,y+1/2,-z'
'x,-y+1/2,z'
'y+1/2,x+1/2,-z'
'-y+1/2,-x+1/2,z'
loop_
_atom_site_label
_atom_site_type_symbol
_atom_site_fract_x
_atom_site_fract_y
_atom_site_fract_z
Er1 Er 0.250 0.750 0.000
Au1 Au 0.250 0.250 0.494
N1 N 0.250 0.250 0.995
O1 O 0.250 0.750 0.500
```

Values from the calculation:
V (Å³/atom): 13.020
Calculated density (g/cm³): 12.57
Total magnetic moment (μB per formula unit): 0.00
Calculated total energy (eV per cell): -49.6

---

[10]
DFT (PBE) results for ErAuNO after structural relaxation.

CIF file:
```
data_ErAuNO
_chemical_formula_sum 'Er2 Au2 N2 O2'
_space_group_name_H-M_alt 'P 4/n m m'
_space_group_IT_number 129
_cell_length_a 3.910
_cell_length_b 3.910
_cell_length_c 7.437
_cell_angle_alpha 90.00
_cell_angle_beta 90.00
_cell_angle_gamma 90.00
loop_
_space_group_symop_operation_xyz
'x,y,z'
'-x,-y,-z'
'-y+1/2,x,z'
'y+1/2,-x,-z'
'-x+1/2,-y+1/2,z'
'x+1/2,y+1/2,-z'
'y,-x+1/2,z'
'-y,x+1/2,-z'
'x+1/2,-y,-z'
'-x+1/2,y,z'
'-y,-x,-z'
'y,x,z'
'-x,y+1/2,-z'
'x,-y+1/2,z'
'y+1/2,x+1/2,-z'
'-y+1/2,-x+1/2,z'
loop_
_atom_site_label
_atom_site_type_symbol
_atom_site_fract_x
_atom_site_fract_y
_atom_site_fract_z
Er1 Er 0.250 0.250 0.141
Au1 Au 0.250 0.750 0.500
N1 N 0.250 0.250 0.690
O1 O 0.250 0.750 0.000
```

Values from the calculation:
V (Å³/atom): 14.209
Calculated density (g/cm³): 11.52
Total magnetic moment (μB per formula unit): 1.05
Calculated total energy (eV per cell): -49.5

---

[11]
DFT (PBE) results for ErAuNO after structural relaxation.

CIF file:
```
data_ErAuNO
_chemical_formula_sum 'Er2 Au2 N2 O2'
_space_group_name_H-M_alt 'P m c 21'
_space_group_IT_number 26
_cell_length_a 4.023
_cell_length_b 7.175
_cell_length_c 5.193
_cell_angle_alpha 90.00
_cell_angle_beta 90.00
_cell_angle_gamma 90.00
loop_
_space_group_symop_operation_xyz
'x,y,z'
'-x,-y,z+1/2'
'-x,y,z'
'x,-y,z+1/2'
loop_
_atom_site_label
_atom_site_type_symbol
_atom_site_fract_x
_atom_site_fract_y
_atom_site_fract_z
Er1 Er 0.000 0.158 0.000
Au1 Au 0.500 0.471 0.607
N1 N 0.500 0.287 0.893
O1 O 0.000 0.120 0.400
```

Values from the calculation:
V (Å³/atom): 18.738
Calculated density (g/cm³): 8.73
Total magnetic moment (μB per formula unit): 0.37
Calculated total energy (eV per cell): -50.5

---

[12]
DFT (PBE) results for ErAuNO after structural relaxation.

CIF file:
```
data_ErAuNO
_chemical_formula_sum 'Er2 Au2 N2 O2'
_space_group_name_H-M_alt 'P m c 21'
_space_group_IT_number 26
_cell_length_a 3.763
_cell_length_b 6.123
_cell_length_c 5.655
_cell_angle_alpha 90.00
_cell_angle_beta 90.00
_cell_angle_gamma 90.00
loop_
_space_group_symop_operation_xyz
'x,y,z'
'-x,-y,z+1/2'
'-x,y,z'
'x,-y,z+1/2'
loop_
_atom_site_label
_atom_site_type_symbol
_atom_site_fract_x
_atom_site_fract_y
_atom_site_fract_z
Er1 Er 0.000 0.210 0.000
Au1 Au 0.500 0.245 0.493
N1 N 0.000 0.144 0.391
O1 O 0.500 0.349 0.897
```

Values from the calculation:
V (Å³/atom): 16.290
Calculated density (g/cm³): 10.05
Total magnetic moment (μB per formula unit): 0.01
Calculated total energy (eV per cell): -49.8

---

[13]
DFT (PBE) results for ErAuNO after structural relaxation.

CIF file:
```
data_ErAuNO
_chemical_formula_sum 'Er2 Au2 N2 O2'
_space_group_name_H-M_alt 'P 4/n m m'
_space_group_IT_number 129
_cell_length_a 4.887
_cell_length_b 4.887
_cell_length_c 4.489
_cell_angle_alpha 90.00
_cell_angle_beta 90.00
_cell_angle_gamma 90.00
loop_
_space_group_symop_operation_xyz
'x,y,z'
'-x,-y,-z'
'-y+1/2,x,z'
'y+1/2,-x,-z'
'-x+1/2,-y+1/2,z'
'x+1/2,y+1/2,-z'
'y,-x+1/2,z'
'-y,x+1/2,-z'
'x+1/2,-y,-z'
'-x+1/2,y,z'
'-y,-x,-z'
'y,x,z'
'-x,y+1/2,-z'
'x,-y+1/2,z'
'y+1/2,x+1/2,-z'
'-y+1/2,-x+1/2,z'
loop_
_atom_site_label
_atom_site_type_symbol
_atom_site_fract_x
_atom_site_fract_y
_atom_site_fract_z
Er1 Er 0.250 0.750 0.000
Au1 Au 0.250 0.250 0.495
N1 N 0.250 0.250 0.995
O1 O 0.250 0.750 0.500
```

Values from the calculation:
V (Å³/atom): 13.399
Calculated density (g/cm³): 12.21
Total magnetic moment (μB per formula unit): 0.00
Calculated total energy (eV per cell): -49.9